## 1
! Al3Cl | the Alexandria database | GGA-PBE | optimized geometry; values from VASP
! V in Å³ per atom: 18.8
! SG: P2/m, No. 10
&SYSTEM
  ibrav = 0, nat = 4, ntyp = 2
/
ATOMIC_SPECIES
Al 26.98 Al.upf
Cl 35.45 Cl.upf
ATOMIC_POSITIONS angstrom
Al 0.0000 0.0000 0.0000
Al 0.0959 2.4479 3.8178
Al 1.6905 2.4479 1.3313
Cl 0.8932 0.0000 2.5746
CELL_PARAMETERS angstrom
2.9785 0.0000 0.0000
0.0000 4.8957 0.0000
-1.1921 0.0000 5.1491



## 2
! Al3Cl | the Alexandria database | GGA-PBE | optimized geometry; values from VASP
! V in Å³ per atom: 19.2
! SG: I4/mmm, No. 139
&SYSTEM
  ibrav = 0, nat = 4, ntyp = 2
/
ATOMIC_SPECIES
Al 26.98 Al.upf
Cl 35.45 Cl.upf
ATOMIC_POSITIONS angstrom
Al 0.0000 0.0000 0.0000
Al 2.2400 0.0000 1.9149
Al 0.0000 2.2400 1.9149
Cl 0.0000 0.0000 3.8297
CELL_PARAMETERS angstrom
-2.2400 2.2400 3.8297
2.2400 -2.2400 3.8297
2.2400 2.2400 -3.8297



If we sort the structures by their calculated energies, the order from most to least stable is 1, 2.



## 1
! Al5Cl3 | the Alexandria database | GGA-PBE | optimized geometry; values from VASP
! V in Å³ per atom: 20.1
! SG: Cmmm, No. 65
&SYSTEM
  ibrav = 0, nat = 8, ntyp = 2
/
ATOMIC_SPECIES
Al 26.98 Al.upf
Cl 35.45 Cl.upf
ATOMIC_POSITIONS angstrom
Al 0.0000 0.0000 0.0000
Al 1.7380 2.1265 0.0000
Al 1.4020 0.0000 2.7232
Al 1.7380 -2.1265 0.0000
Al 5.5500 0.0000 2.7232
Cl 3.4760 1.6286 2.7232
Cl 3.4760 0.0000 0.0000
Cl 3.4760 -1.6286 2.7232
CELL_PARAMETERS angstrom
3.4760 -4.2530 0.0000
3.4760 4.2530 0.0000
0.0000 0.0000 5.4464



## 2
! Al5Cl3 | the Alexandria database | GGA-PBE | optimized geometry; values from VASP
! V in Å³ per atom: 37.0
! SG: Fmm2, No. 42
&SYSTEM
  ibrav = 0, nat = 16, ntyp = 2
/
ATOMIC_SPECIES
Al 26.98 Al.upf
Cl 35.45 Cl.upf
ATOMIC_POSITIONS angstrom
Al 2.4547 1.5226 10.5201
Al 3.6744 11.4478 8.5269
Al 2.4547 9.3224 7.0916
Al 2.4547 8.8965 10.5540
Al 2.4547 13.5731 7.0916
Al 2.4547 13.9991 10.5540
Al 1.2350 11.4478 8.5269
Al 2.4547 9.9164 16.9933
Al 2.4547 12.9791 16.9933
Al 2.4547 21.3730 10.5201
Cl 2.4547 11.4478 1.7741
Cl 2.4547 7.5743 8.5654
Cl 2.4547 7.4557 12.1538
Cl 2.4547 15.3212 8.5654
Cl 2.4547 11.4478 15.2391
Cl 2.4547 15.4399 12.1538
CELL_PARAMETERS angstrom
0.0000 11.4478 10.5201
2.4547 0.0000 10.5201
2.4547 11.4478 0.0000



If we sort the structures by their calculated energies, the order from most to least stable is 2, 1.



## 1
! Al2CoCl | the Alexandria database | GGA-PBE | optimized geometry; values from VASP
! V in Å³ per atom: 16.6
! SG: Immm, No. 71
&SYSTEM
  ibrav = 0, nat = 4, ntyp = 3
/
ATOMIC_SPECIES
Al 26.98 Al.upf
Co 58.93 Co.upf
Cl 35.45 Cl.upf
ATOMIC_POSITIONS angstrom
Al 0.0000 0.0000 1.8970
Al 0.0000 0.0000 6.1914
Co 1.4778 0.0000 0.0000
Cl 0.0000 2.7787 0.0000
CELL_PARAMETERS angstrom
-1.4778 2.7787 4.0442
1.4778 -2.7787 4.0442
1.4778 2.7787 -4.0442



## 2
! Al2CoCl | the Alexandria database | GGA-PBE | optimized geometry; values from VASP
! V in Å³ per atom: 15.1
! SG: Cmmm, No. 65
&SYSTEM
  ibrav = 0, nat = 4, ntyp = 3
/
ATOMIC_SPECIES
Al 26.98 Al.upf
Co 58.93 Co.upf
Cl 35.45 Cl.upf
ATOMIC_POSITIONS angstrom
Al 1.6440 1.6519 0.0000
Al 1.6440 -1.6519 0.0000
Co 0.0000 0.0000 1.3890
Cl 3.2881 0.0000 1.3890
CELL_PARAMETERS angstrom
3.2881 -3.3039 0.0000
3.2881 3.3039 0.0000
0.0000 0.0000 2.7781



If we sort the structures by their calculated energies, the order from most to least stable is 2, 1.



## 1
! Al2CoCl | the Alexandria database | GGA-PBE | optimized geometry; values from VASP
! V in Å³ per atom: 19.3
! SG: Imm2, No. 44
&SYSTEM
  ibrav = 0, nat = 4, ntyp = 3
/
ATOMIC_SPECIES
Al 26.98 Al.upf
Co 58.93 Co.upf
Cl 35.45 Cl.upf
ATOMIC_POSITIONS angstrom
Al 0.0000 0.0000 0.0000
Al 0.0000 1.6581 2.7364
Co 0.0000 0.0000 8.9193
Cl 1.4487 0.0000 4.3385
CELL_PARAMETERS angstrom
-1.4487 1.6581 8.0343
1.4487 -1.6581 8.0343
1.4487 1.6581 -8.0343



## 2
! Al2CoCl | the Alexandria database | GGA-PBE | optimized geometry; values from VASP
! V in Å³ per atom: 22.3
! SG: Cm, No. 8
&SYSTEM
  ibrav = 0, nat = 4, ntyp = 3
/
ATOMIC_SPECIES
Al 26.98 Al.upf
Co 58.93 Co.upf
Cl 35.45 Cl.upf
ATOMIC_POSITIONS angstrom
Al 0.0000 0.0000 0.0000
Al 1.7633 0.0000 2.3264
Co 8.1158 0.0000 1.9804
Cl 11.7035 0.0000 2.6642
CELL_PARAMETERS angstrom
8.1527 -1.4292 0.0000
8.1527 1.4292 0.0000
-0.7374 0.0000 3.8332



## 3
! Al2CoCl | the Alexandria database | GGA-PBE | optimized geometry; values from VASP
! V in Å³ per atom: 15.4
! SG: Pmmm, No. 47
&SYSTEM
  ibrav = 0, nat = 4, ntyp = 3
/
ATOMIC_SPECIES
Al 26.98 Al.upf
Co 58.93 Co.upf
Cl 35.45 Cl.upf
ATOMIC_POSITIONS angstrom
Al 0.0000 0.0000 1.3769
Al 0.0000 0.0000 5.7519
Co 1.4606 1.4827 0.0000
Cl 1.4606 0.0000 3.5644
CELL_PARAMETERS angstrom
2.9212 0.0000 0.0000
0.0000 2.9654 0.0000
0.0000 0.0000 7.1288



## 4
! Al2CoCl | the Alexandria database | GGA-PBE | optimized geometry; values from VASP
! V in Å³ per atom: 16.4
! SG: F-43m, No. 216
&SYSTEM
  ibrav = 0, nat = 4, ntyp = 3
/
ATOMIC_SPECIES
Al 26.98 Al.upf
Co 58.93 Co.upf
Cl 35.45 Cl.upf
ATOMIC_POSITIONS angstrom
Al 0.0000 0.0000 0.0000
Al 1.5997 1.5997 1.5997
Co 4.7992 4.7992 4.7992
Cl 3.1994 3.1994 3.1994
CELL_PARAMETERS angstrom
0.0000 3.1994 3.1994
3.1994 0.0000 3.1994
3.1994 3.1994 0.0000



If we sort the structures by their calculated energies, the order from most to least stable is 3, 2, 1, 4.



## 1
! Al2CoCl | the Alexandria database | GGA-PBE | optimized geometry; values from VASP
! V in Å³ per atom: 15.7
! SG: I4/mmm, No. 139
&SYSTEM
  ibrav = 0, nat = 4, ntyp = 3
/
ATOMIC_SPECIES
Al 26.98 Al.upf
Co 58.93 Co.upf
Cl 35.45 Cl.upf
ATOMIC_POSITIONS angstrom
Al 1.9860 0.0000 1.9896
Al 0.0000 1.9860 1.9896
Co 0.0000 0.0000 0.0000
Cl 0.0000 0.0000 3.9792
CELL_PARAMETERS angstrom
-1.9860 1.9860 3.9792
1.9860 -1.9860 3.9792
1.9860 1.9860 -3.9792



## 2
! Al2CoCl | the Alexandria database | GGA-PBE | optimized geometry; values from VASP
! V in Å³ per atom: 16.2
! SG: Pmmm, No. 47
&SYSTEM
  ibrav = 0, nat = 4, ntyp = 3
/
ATOMIC_SPECIES
Al 26.98 Al.upf
Co 58.93 Co.upf
Cl 35.45 Cl.upf
ATOMIC_POSITIONS angstrom
Al 0.0000 0.0000 0.0000
Al 1.4189 0.0000 2.3939
Co 0.0000 2.3785 2.3939
Cl 1.4189 2.3785 0.0000
CELL_PARAMETERS angstrom
2.8378 0.0000 0.0000
0.0000 4.7569 0.0000
0.0000 0.0000 4.7877



## 3
! Al2CoCl | the Alexandria database | GGA-PBE | optimized geometry; values from VASP
! V in Å³ per atom: 15.9
! SG: Fm-3m, No. 225
&SYSTEM
  ibrav = 0, nat = 4, ntyp = 3
/
ATOMIC_SPECIES
Al 26.98 Al.upf
Co 58.93 Co.upf
Cl 35.45 Cl.upf
ATOMIC_POSITIONS angstrom
Al 1.5833 1.5833 1.5833
Al 4.7500 4.7500 4.7500
Co 0.0000 0.0000 0.0000
Cl 3.1667 3.1667 3.1667
CELL_PARAMETERS angstrom
0.0000 3.1667 3.1667
3.1667 0.0000 3.1667
3.1667 3.1667 0.0000



If we sort the structures by their calculated energies, the order from most to least stable is 2, 1, 3.



## 1
! Al2CoCl | the Alexandria database | GGA-PBE | optimized geometry; values from VASP
! V in Å³ per atom: 16.2
! SG: C2/m, No. 12
&SYSTEM
  ibrav = 0, nat = 4, ntyp = 3
/
ATOMIC_SPECIES
Al 26.98 Al.upf
Co 58.93 Co.upf
Cl 35.45 Cl.upf
ATOMIC_POSITIONS angstrom
Al 1.8804 0.0000 0.9786
Al 7.8800 0.0000 3.3332
Co 5.2682 0.0000 0.0000
Cl -0.3880 0.0000 2.1559
CELL_PARAMETERS angstrom
5.2682 -1.4264 0.0000
5.2682 1.4264 0.0000
-0.7760 0.0000 4.3118



## 2
! Al2CoCl | the Alexandria database | GGA-PBE | optimized geometry; values from VASP
! V in Å³ per atom: 15.4
! SG: R-3m, No. 166
&SYSTEM
  ibrav = 0, nat = 4, ntyp = 3
/
ATOMIC_SPECIES
Al 26.98 Al.upf
Co 58.93 Co.upf
Cl 35.45 Cl.upf
ATOMIC_POSITIONS angstrom
Al 0.0000 0.0000 5.2507
Al 0.0000 0.0000 16.8314
Co 0.0000 0.0000 11.0410
Cl 0.0000 0.0000 0.0000
CELL_PARAMETERS angstrom
1.5542 0.8973 7.3607
-1.5542 0.8973 7.3607
0.0000 -1.7946 7.3607



## 3
! Al2CoCl | the Alexandria database | GGA-PBE | optimized geometry; values from VASP
! V in Å³ per atom: 17.5
! SG: I-4m2, No. 119
&SYSTEM
  ibrav = 0, nat = 4, ntyp = 3
/
ATOMIC_SPECIES
Al 26.98 Al.upf
Co 58.93 Co.upf
Cl 35.45 Cl.upf
ATOMIC_POSITIONS angstrom
Al 0.0000 0.0000 0.0000
Al 0.0000 1.7724 2.7919
Co 0.0000 0.0000 5.5839
Cl 1.7724 0.0000 2.7919
CELL_PARAMETERS angstrom
-1.7724 1.7724 5.5839
1.7724 -1.7724 5.5839
1.7724 1.7724 -5.5839



If we sort the structures by their calculated energies, the order from most to least stable is 2, 1, 3.



## 1
! Al2CoCl | the Alexandria database | GGA-PBE | optimized geometry; values from VASP
! V in Å³ per atom: 15.5
! SG: P4/mmm, No. 123
&SYSTEM
  ibrav = 0, nat = 4, ntyp = 3
/
ATOMIC_SPECIES
Al 26.98 Al.upf
Co 58.93 Co.upf
Cl 35.45 Cl.upf
ATOMIC_POSITIONS angstrom
Al 0.0000 0.0000 1.3961
Al 0.0000 0.0000 5.8475
Co 1.4629 1.4629 0.0000
Cl 1.4629 1.4629 3.6218
CELL_PARAMETERS angstrom
2.9257 0.0000 0.0000
0.0000 2.9257 0.0000
0.0000 0.0000 7.2436



## 2
! Al2CoCl | the Alexandria database | GGA-PBE | optimized geometry; values from VASP
! V in Å³ per atom: 20.0
! SG: I-42d, No. 122
&SYSTEM
  ibrav = 0, nat = 8, ntyp = 3
/
ATOMIC_SPECIES
Al 26.98 Al.upf
Co 58.93 Co.upf
Cl 35.45 Cl.upf
ATOMIC_POSITIONS angstrom
Al 4.6294 1.2974 -1.0515
Al 1.2974 1.5431 1.0515
Al -1.5431 1.7889 3.1544
Al 1.7889 1.5431 5.2574
Co 0.0000 0.0000 0.0000
Co 0.0000 3.0863 2.1030
Cl 3.0863 0.0000 2.1030
Cl 0.0000 0.0000 4.2059
CELL_PARAMETERS angstrom
-3.0863 3.0863 4.2059
3.0863 -3.0863 4.2059
3.0863 3.0863 -4.2059



If we sort the structures by their calculated energies, the order from most to least stable is 1, 2.



## 1
! Al2CoCl | the Alexandria database | GGA-PBE | optimized geometry; values from VASP
! V in Å³ per atom: 16.1
! SG: R3m, No. 160
&SYSTEM
  ibrav = 0, nat = 4, ntyp = 3
/
ATOMIC_SPECIES
Al 26.98 Al.upf
Co 58.93 Co.upf
Cl 35.45 Cl.upf
ATOMIC_POSITIONS angstrom
Al 0.0000 0.0000 0.0000
Al 0.0000 0.0000 5.7263
Co 0.0000 0.0000 11.9951
Cl 0.0000 0.0000 17.5335
CELL_PARAMETERS angstrom
1.5391 0.8886 7.8673
-1.5391 0.8886 7.8673
0.0000 -1.7772 7.8673



## 2
! Al2CoCl | the Alexandria database | GGA-PBE | optimized geometry; values from VASP
! V in Å³ per atom: 17.4
! SG: P4mm, No. 99
&SYSTEM
  ibrav = 0, nat = 4, ntyp = 3
/
ATOMIC_SPECIES
Al 26.98 Al.upf
Co 58.93 Co.upf
Cl 35.45 Cl.upf
ATOMIC_POSITIONS angstrom
Al 0.0000 0.0000 0.0000
Al 1.5241 1.5241 3.2784
Co 1.5241 1.5241 1.0252
Cl 0.0000 0.0000 4.9911
CELL_PARAMETERS angstrom
3.0482 0.0000 0.0000
0.0000 3.0482 0.0000
0.0000 0.0000 7.4999



## 3
! Al2CoCl | the Alexandria database | GGA-PBE | optimized geometry; values from VASP
! V in Å³ per atom: 15.7
! SG: P4mm, No. 99
&SYSTEM
  ibrav = 0, nat = 4, ntyp = 3
/
ATOMIC_SPECIES
Al 26.98 Al.upf
Co 58.93 Co.upf
Cl 35.45 Cl.upf
ATOMIC_POSITIONS angstrom
Al 0.0000 2.3996 0.0000
Al 2.3996 0.0000 0.0000
Co 0.0000 0.0000 1.3666
Cl 2.3996 2.3996 0.0071
CELL_PARAMETERS angstrom
4.7992 0.0000 0.0000
0.0000 4.7992 0.0000
0.0000 0.0000 2.7318



If we sort the structures by their calculated energies, the order from most to least stable is 2, 3, 1.